No. 1
! RbPmSCl (GGA-PBE, optimized geometry); values from VASP
! Space group: R3m (160)
! N(E_F): 2.34 states/eV per cell
! E_tot: -0.1686 Ha/atom
! Total moment: 0.00 μB/atom
! Formation energy without anion corrections: -1.6652 eV per atom
&SYSTEM
  ibrav = 0, nat = 4, ntyp = 4
/
ATOMIC_SPECIES
Rb 85.47 Rb.upf
Pm 145.00 Pm.upf
S 32.06 S.upf
Cl 35.45 Cl.upf
ATOMIC_POSITIONS crystal
Rb 0.000 0.000 0.000
Pm 0.818 0.818 0.818
S 0.422 0.422 0.422
Cl 0.228 0.228 0.228
CELL_PARAMETERS angstrom
2.043 1.179 8.028
-2.043 1.179 8.028
0.000 -2.359 8.028



No. 2
! RbPmSeCl (GGA-PBE, optimized geometry); values from VASP
! Space group: R3m (160)
! N(E_F): 2.55 states/eV per cell
! E_tot: -0.1603 Ha/atom
! Total moment: 0.00 μB/atom
! Formation energy without anion corrections: -1.5999 eV per atom
&SYSTEM
  ibrav = 0, nat = 4, ntyp = 4
/
ATOMIC_SPECIES
Rb 85.47 Rb.upf
Pm 145.00 Pm.upf
Se 78.96 Se.upf
Cl 35.45 Cl.upf
ATOMIC_POSITIONS crystal
Rb 0.000 0.000 0.000
Pm 0.176 0.176 0.176
Se 0.576 0.576 0.576
Cl 0.769 0.769 0.769
CELL_PARAMETERS angstrom
2.091 1.207 8.190
-2.091 1.207 8.190
0.000 -2.414 8.190



No. 3
! Rb2PmSe2Cl2 (GGA-PBE, optimized geometry); values from VASP
! Space group: I4/mmm (139)
! N(E_F): 9.08 states/eV per cell
! E_tot: -0.1501 Ha/atom
! Total moment: 0.01 μB/atom
! Formation energy without anion corrections: -1.6072 eV per atom
&SYSTEM
  ibrav = 0, nat = 7, ntyp = 4
/
ATOMIC_SPECIES
Rb 85.47 Rb.upf
Pm 145.00 Pm.upf
Se 78.96 Se.upf
Cl 35.45 Cl.upf
ATOMIC_POSITIONS crystal
Rb 0.145 0.145 0.000
Rb 0.855 0.855 0.000
Pm 0.500 0.500 0.000
Se 0.000 0.500 0.500
Se 0.500 0.000 0.500
Cl 0.336 0.336 0.000
Cl 0.664 0.664 0.000
CELL_PARAMETERS angstrom
-2.832 2.832 8.493
2.832 -2.832 8.493
2.832 2.832 -8.493



Question: What is the formation energy without anion corrections in the first record?
Answer: -1.6652 eV per atom



Question: What is the formula in the second record?
Answer: RbPmSeCl